# 1
# Na2PmSbO6

A relaxed structure of Na2PmSbO6 (PBE, Alexandria).

Its space-group type is P2_1/c, No. 14. Its formation energy from raw total energies is -1.730 eV/atom. Its density is 4.705 g cm⁻³. The value obtained for the size of the total moment is 2.01 μB/f.u.

Cell lengths 5.8183, 5.9759, 10.1233 Å; angles 90.00, 124.95, 90.00 degrees
With the nearest neighbours (Å) after each atom.
Element x y z (fractional)
Na (0.2419, 0.0365, 0.2527)  4 O 2.43-2.62
Na (0.2419, 0.4635, 0.7527)  4 O 2.43-2.62
Na (0.7581, 0.5365, 0.2473)  4 O 2.43-2.62
Na (0.7581, 0.9635, 0.7473)  4 O 2.43-2.62
Pm (0.5000, 0.0000, 0.0000)  6 O 2.32-2.35
Pm (0.5000, 0.5000, 0.5000)  6 O 2.32-2.35
Sb (0.0000, 0.0000, 0.5000)  6 O 1.99-2.00
Sb (0.0000, 0.5000, 0.0000)  6 O 1.99-2.00
O (0.1241, 0.2279, 0.9422)  1 Sb 2.00
O (0.1241, 0.2721, 0.4422)  1 Sb 2.00
O (0.2261, 0.6877, 0.9519)  1 Sb 1.99
O (0.2261, 0.8123, 0.4519)  1 Sb 1.99
O (0.3291, 0.0396, 0.7280)  1 Sb 2.00
O (0.3291, 0.4604, 0.2280)  1 Sb 2.00
O (0.6709, 0.5396, 0.7720)  1 Sb 2.00
O (0.6709, 0.9604, 0.2720)  1 Sb 2.00
O (0.7739, 0.1877, 0.5481)  1 Sb 1.99
O (0.7739, 0.3123, 0.0481)  1 Sb 1.99
O (0.8759, 0.7279, 0.5578)  1 Sb 2.00
O (0.8759, 0.7721, 0.0578)  1 Sb 2.00



# 2
# Na3PmSc2O6

A relaxed structure of Na3PmSc2O6 (PBE, Alexandria).

Its space-group type is C2/m, No. 12. Its formation energy from raw total energies is -2.744 eV/atom. Its density is 4.187 g cm⁻³. The value obtained for the size of the total moment is 0.00 μB/f.u.

Cell lengths 7.5344, 7.5344, 6.7382 Å; angles 104.25, 104.25, 25.37 degrees
With the nearest neighbours (Å) after each atom.
Element x y z (fractional)
Na (0.0000, 0.0000, 0.0000)  6 O 2.42-2.58
Na (0.3281, 0.3281, 0.6688)  5 O 2.35-2.60
Na (0.6719, 0.6719, 0.3312)  5 O 2.35-2.60
Pm (0.0000, 0.0000, 0.5000)  6 O 2.33-2.35
Sc (0.3300, 0.3300, 0.1570)  6 O 2.14-2.21
Sc (0.6700, 0.6700, 0.8430)  6 O 2.14-2.21
O (0.1645, 0.1645, 0.6239)  2 Sc 2.21, 1 Na 2.35, 1 Pm 2.35
O (0.1800, 0.1800, 0.0576)  3 Sc 2.14-2.18
O (0.4826, 0.4826, 0.2493)  1 Sc 2.17, 2 Pm 2.33, 2 Na 2.42
O (0.5174, 0.5174, 0.7507)  1 Sc 2.17, 2 Pm 2.33, 2 Na 2.42
O (0.8200, 0.8200, 0.9424)  3 Sc 2.14-2.18
O (0.8355, 0.8355, 0.3761)  2 Sc 2.21, 1 Na 2.35, 1 Pm 2.35